9
Lattice="-3.9869 -3.3724 -5.1713 7.2867 -0.9326 0.2126 -0.4810 -3.1984 2.4566" Properties=species:S:1:pos:R:3 comment="Gd3Ni2Sn3Pd | OQMD via LeMat-Bulk | PBE | optimized geometry" e_tot_ev_per_fu=-49.0 m_tot_mub_per_fu=0.00 volume_a3_per_cell=190.0 space_group="No. 189" density_g_cm3=9.19 pbc="T T T"
Gd -1.6441 -1.3907 -2.1325
Gd 3.0048 -0.3846 0.0877
Gd 1.9391 -2.5298 -2.9139
Ni -0.4695 -4.1583 -2.1484
Ni 3.2883 -3.3451 -0.3537
Pd 0.0000 0.0000 0.0000
Sn -3.1778 -4.0838 -2.5816
Sn 0.6282 -2.7325 -0.0771
Sn 5.1279 -2.2863 1.3849

9
Lattice="-2.1093 0.3944 6.8347 -3.2635 -4.5179 -4.5007 2.4901 -2.7207 0.9255" Properties=species:S:1:pos:R:3 comment="Gd3Zn3Ni2Pd | OQMD via LeMat-Bulk | PBE | optimized geometry" e_form_ev_per_atom=-0.536 m_tot_mub_per_fu=0.01 volume_a3_per_cell=169.0 space_group="No. 189" density_g_cm3=8.76 pbc="T T T"
Gd -0.8699 0.1627 2.8187
Gd -1.3459 -1.8632 -1.8561
Gd -3.1570 -2.4229 1.3714
Ni -1.2490 -2.6034 3.5190
Ni -1.6337 -4.2408 -0.2595
Pd 0.0000 0.0000 0.0000
Zn -0.3234 -1.0671 5.5449
Zn -0.1326 -2.4176 1.0612
Zn -1.1816 -4.7198 -2.8839